RbLiTl2Sb | PBE | optimized geometry

Summary:
Energy relative to the elements, uncorrected, eV per atom: -0.141
D(E_F), states/eV/cell: 2.4

Unit cell a=5.547 b=5.547 c=5.271 alpha=90.00 beta=90.00 gamma=90.00
Space group P4/mmm (No. 123)
Asymmetric unit:
Rb1 0.000 0.000 0.000 [1 per cell]
Li1 0.500 0.500 0.500 [1 per cell]
Tl1 0.000 0.500 0.500 [2 per cell]
Sb1 0.500 0.500 0.000 [1 per cell]

***

KNa | PBE | optimized geometry

Summary:
D(E_F), states/eV/cell: 3.5
Formation energy, eV per atom: 0.29

Unit cell a=8.713 b=8.713 c=8.713 alpha=90.00 beta=90.00 gamma=90.00
Space group F-43m (No. 216)
Asymmetric unit:
K1 0.000 0.000 0.000 [4 per cell]
Na1 0.250 0.250 0.250 [4 per cell]

***

Ca2Nb2Cl | PBE | optimized geometry

Summary:
Energy relative to the elements, uncorrected, eV per atom: 0.323
D(E_F), states/eV/cell: 9.6
Energy above the most stable polymorph in this dataset, eV per atom: 0.5014

Unit cell a=8.915 b=8.915 c=3.784 alpha=90.00 beta=90.00 gamma=90.00
Space group P4/mbm (No. 127)
Asymmetric unit:
Ca1 0.201 0.299 0.000 [4 per cell]
Nb1 0.085 0.585 0.500 [4 per cell]
Cl1 0.000 0.000 0.000 [2 per cell]

***

| no. | magnetization (μB per cell) |
| --- | --- |
| 1 | 0.00 |
| 2 | 0.00 |
| 3 | 0.00 |